1.
# BeNiPb2

A relaxed BeNiPb2 crystal (PBEsol, the Alexandria database).

abc: 3.0778 3.0778 8.1182
angles: 90.00 90.00 90.00
Space group P4mm (No. 99)
Asymmetric unit:
Be (0.0000, 0.0000, 0.0000) [1 per cell]
Ni (0.5000, 0.5000, 0.0859) [1 per cell]
Pb (0.0000, 0.0000, 0.3315) [1 per cell]
Pb (0.5000, 0.5000, 0.7426) [1 per cell]

Properties
ΔE_f = 0.1571 eV per atom

***

2.
# BeNiPb

A relaxed BeNiPb crystal (PBEsol, the Alexandria database).

abc: 5.7840 5.7840 5.7840
angles: 90.00 90.00 90.00
Space group F-43m (No. 216)
Asymmetric unit:
Be (0.0000, 0.0000, 0.0000) [4 per cell]
Ni (0.2500, 0.2500, 0.7500) [4 per cell]
Pb (0.0000, 0.0000, 0.5000) [4 per cell]

Properties
ΔE_f = 0.2731 eV per atom

***

3.
# Be2NiPb

A relaxed Be2NiPb crystal (PBEsol, the Alexandria database).

abc: 3.7739 3.7739 14.1101
angles: 90.00 90.00 120.00
Space group R-3m (No. 166, hexagonal axes)
Asymmetric unit:
Be (0.0000, 0.0000, 0.1861) [6 per cell]
Ni (0.0000, 0.0000, 0.5000) [3 per cell]
Pb (0.0000, 0.0000, 0.0000) [3 per cell]

Properties
ΔE_f = 0.1948 eV per atom

***

4.
# Be2NiPb

A relaxed Be2NiPb crystal (PBEsol, the Alexandria database).

abc: 3.7786 3.7786 3.6299
angles: 90.00 90.00 90.00
Space group P4/mmm (No. 123)
Asymmetric unit:
Be (0.0000, 0.5000, 0.0000) [2 per cell]
Ni (0.0000, 0.0000, 0.5000) [1 per cell]
Pb (0.5000, 0.5000, 0.5000) [1 per cell]

Properties
ΔE_f = 0.4089 eV per atom

***

5.
# BeNiPb2

A relaxed BeNiPb2 crystal (PBEsol, the Alexandria database).

abc: 3.6579 3.9829 10.0047
angles: 90.00 90.00 90.00
Space group Amm2 (No. 38)
Asymmetric unit:
Be (0.0000, 0.0000, 0.0000) [2 per cell]
Ni (0.5000, 0.0000, 0.8811) [2 per cell]
Pb (0.0000, 0.0000, 0.2933) [2 per cell]
Pb (0.5000, 0.0000, 0.5817) [2 per cell]

Properties
ΔE_f = 0.1910 eV per atom

***

6.
# BeNiPb2

A relaxed BeNiPb2 crystal (PBEsol, the Alexandria database).

abc: 3.3714 3.3376 6.7665
angles: 90.00 101.32 90.00
Space group P2/m (No. 10)
Asymmetric unit:
Be (0.0000, 0.0000, 0.0000) [1 per cell]
Ni (0.0000, 0.0000, 0.5000) [1 per cell]
Pb (0.4691, 0.5000, 0.2573) [2 per cell]

Properties
ΔE_f = 0.5201 eV per atom

***

7.
# BeNi3Pd

A relaxed BeNi3Pd crystal (PBEsol, the Alexandria database).

abc: 3.8303 3.8303 3.8303
angles: 90.00 90.00 90.00
Space group Pm-3m (No. 221)
Asymmetric unit:
Be (0.0000, 0.0000, 0.0000) [1 per cell]
Ni (0.0000, 0.0000, 0.5000) [3 per cell]
Pd (0.5000, 0.5000, 0.5000) [1 per cell]

Properties
ΔE_f = 0.3400 eV per atom

***

8.
# ScBe2NiPd

A relaxed ScBe2NiPd crystal (PBEsol, the Alexandria database).

abc: 4.4700 4.4700 4.4965
angles: 90.00 90.00 90.00
Space group P4/mmm (No. 123)
Asymmetric unit:
Sc (0.0000, 0.0000, 0.0000) [1 per cell]
Be (0.0000, 0.5000, 0.0000) [2 per cell]
Ni (0.5000, 0.5000, 0.5000) [1 per cell]
Pd (0.0000, 0.0000, 0.5000) [1 per cell]

Properties
ΔE_f = 1.7038 eV per atom

***

9.
# BeNiPt

A relaxed BeNiPt crystal (PBEsol, the Alexandria database).

abc: 2.6861 2.6861 9.0585
angles: 90.00 90.00 90.00
Space group I4mm (No. 107)
Asymmetric unit:
Be (0.0000, 0.0000, 0.0000) [2 per cell]
Ni (0.0000, 0.0000, 0.6385) [2 per cell]
Pt (0.0000, 0.0000, 0.3419) [2 per cell]

Properties
excess energy over the best structure of this formula in the dataset = 0.0 meV/atom
ΔE_f = -0.4425 eV per atom

***

10.
# BeNiPt2

A relaxed BeNiPt2 crystal (PBEsol, the Alexandria database).

abc: 2.7127 2.7127 6.4918
angles: 90.00 90.00 90.00
Space group P4mm (No. 99)
Asymmetric unit:
Be (0.0000, 0.0000, 0.0000) [1 per cell]
Ni (0.5000, 0.5000, 0.1891) [1 per cell]
Pt (0.0000, 0.0000, 0.4599) [1 per cell]
Pt (0.5000, 0.5000, 0.7828) [1 per cell]

Properties
ΔE_f = -0.3487 eV per atom

***

11.
# Be2NiPt

A relaxed Be2NiPt crystal (PBEsol, the Alexandria database).

abc: 2.7537 2.7537 5.3560
angles: 90.00 90.00 90.00
Space group P4mm (No. 99)
Asymmetric unit:
Be (0.0000, 0.0000, 0.0000) [1 per cell]
Be (0.5000, 0.5000, 0.2249) [1 per cell]
Ni (0.0000, 0.0000, 0.4191) [1 per cell]
Pt (0.5000, 0.5000, 0.7601) [1 per cell]

Properties
ΔE_f = -0.4188 eV per atom

***

12.
# BeNiPt2

A relaxed BeNiPt2 crystal (PBEsol, the Alexandria database).

abc: 2.7085 2.7085 6.5586
angles: 90.00 90.00 90.00
Space group P4/mmm (No. 123)
Asymmetric unit:
Be (0.0000, 0.0000, 0.0000) [1 per cell]
Ni (0.0000, 0.0000, 0.5000) [1 per cell]
Pt (0.5000, 0.5000, 0.2221) [2 per cell]

Properties
ΔE_f = -0.4115 eV per atom